1.
Entry from Alexandria via LeMat-Bulk: a relaxed HfAgBr3 crystal (PBE).

Structure (CIF):
```
data_HfAgBr3
_space_group_name_H-M_alt 'P 1'
_space_group_IT_number 1
_space_group_name_Hall 'P 1'
_cell_length_a 5.298
_cell_length_b 5.298
_cell_length_c 5.298
_cell_angle_alpha 90.00
_cell_angle_beta 90.00
_cell_angle_gamma 90.00
loop_
_atom_site_label
_atom_site_type_symbol
_atom_site_fract_x
_atom_site_fract_y
_atom_site_fract_z
_atom_site_occupancy
Hf1 Hf 0.500 0.500 0.500 1
Ag1 Ag 0.000 0.000 0.000 1
Br1 Br 0.000 0.500 0.000 1
Br2 Br 0.000 0.000 0.500 1
Br3 Br 0.500 0.000 0.000 1
```

Summary:
The calculation puts the magnetic moment at 0.400 μB per atom. The density of states at the Fermi level is 6.4 states/eV/f.u.

=====

2.
Entry from Alexandria via LeMat-Bulk: a relaxed KZnRu4 crystal (PBE).

Structure (CIF):
```
data_KZnRu4
_space_group_name_H-M_alt 'P 1'
_space_group_IT_number 1
_space_group_name_Hall 'P 1'
_cell_length_a 5.282
_cell_length_b 5.282
_cell_length_c 5.282
_cell_angle_alpha 60.00
_cell_angle_beta 60.00
_cell_angle_gamma 60.00
loop_
_atom_site_label
_atom_site_type_symbol
_atom_site_fract_x
_atom_site_fract_y
_atom_site_fract_z
_atom_site_occupancy
K1 K 0.000 0.000 0.000 1
Zn1 Zn 0.750 0.750 0.750 1
Ru1 Ru 0.873 0.376 0.376 1
Ru2 Ru 0.376 0.376 0.873 1
Ru3 Ru 0.376 0.873 0.376 1
Ru4 Ru 0.376 0.376 0.376 1
```

Summary:
The calculation puts the magnetic moment at 0.532 μB per atom. The density of states at the Fermi level is 8.3 states/eV/f.u.

=====

3.
Entry from Alexandria via LeMat-Bulk: a relaxed UMn4W crystal (PBE).

Structure (CIF):
```
data_UMn4W
_space_group_name_H-M_alt 'P 1'
_space_group_IT_number 1
_space_group_name_Hall 'P 1'
_cell_length_a 4.896
_cell_length_b 4.896
_cell_length_c 4.896
_cell_angle_alpha 60.00
_cell_angle_beta 60.00
_cell_angle_gamma 60.00
loop_
_atom_site_label
_atom_site_type_symbol
_atom_site_fract_x
_atom_site_fract_y
_atom_site_fract_z
_atom_site_occupancy
Mn1 Mn 0.625 0.625 0.124 1
Mn2 Mn 0.625 0.124 0.625 1
Mn3 Mn 0.625 0.625 0.625 1
Mn4 Mn 0.124 0.625 0.625 1
U1 U 0.250 0.250 0.250 1
W1 W 0.000 0.000 0.000 1
```

Summary:
The calculation puts the magnetic moment at 0.760 μB per atom. The density of states at the Fermi level is 11.7 states/eV/f.u.

=====

4.
Entry from Alexandria via LeMat-Bulk: a relaxed MgReTe3 crystal (PBE).

Structure (CIF):
```
data_MgReTe3
_space_group_name_H-M_alt 'P 1'
_space_group_IT_number 1
_space_group_name_Hall 'P 1'
_cell_length_a 5.371
_cell_length_b 5.371
_cell_length_c 5.371
_cell_angle_alpha 90.00
_cell_angle_beta 90.00
_cell_angle_gamma 90.00
loop_
_atom_site_label
_atom_site_type_symbol
_atom_site_fract_x
_atom_site_fract_y
_atom_site_fract_z
_atom_site_occupancy
Re1 Re 0.500 0.500 0.500 1
Mg1 Mg 0.000 0.000 0.000 1
Te1 Te 0.000 0.500 0.000 1
Te2 Te 0.000 0.000 0.500 1
Te3 Te 0.500 0.000 0.000 1
```

Summary:
The calculation puts the magnetic moment at 0.749 μB per atom. The density of states at the Fermi level is 4.7 states/eV/f.u.

=====

5.
Entry from Alexandria via LeMat-Bulk: a relaxed NdCdIr crystal (PBE).

Structure (CIF):
```
data_NdCdIr
_space_group_name_H-M_alt 'P 1'
_space_group_IT_number 1
_space_group_name_Hall 'P 1'
_cell_length_a 4.033
_cell_length_b 4.105
_cell_length_c 8.922
_cell_angle_alpha 89.99
_cell_angle_beta 103.10
_cell_angle_gamma 90.00
loop_
_atom_site_label
_atom_site_type_symbol
_atom_site_fract_x
_atom_site_fract_y
_atom_site_fract_z
_atom_site_occupancy
Nd1 Nd 0.319 0.346 0.712 1
Nd2 Nd 0.127 0.846 0.328 1
Cd1 Cd 0.516 0.346 0.105 1
Cd2 Cd 0.930 0.846 0.936 1
Ir1 Ir 0.769 0.846 0.612 1
Ir2 Ir 0.677 0.346 0.428 1
```

Summary:
The calculation puts the magnetic moment at 0.000 μB per atom. The density of states at the Fermi level is 1.3 states/eV/f.u.

=====

6.
Entry from Alexandria via LeMat-Bulk: a relaxed Dy3PuIn12 crystal (PBE).

Structure (CIF):
```
data_Dy3PuIn12
_space_group_name_H-M_alt 'P 1'
_space_group_IT_number 1
_space_group_name_Hall 'P 1'
_cell_length_a 4.635
_cell_length_b 4.635
_cell_length_c 18.602
_cell_angle_alpha 90.00
_cell_angle_beta 90.00
_cell_angle_gamma 90.00
loop_
_atom_site_label
_atom_site_type_symbol
_atom_site_fract_x
_atom_site_fract_y
_atom_site_fract_z
_atom_site_occupancy
Dy1 Dy 0.000 0.000 0.252 1
Dy2 Dy 0.000 0.000 0.500 1
Dy3 Dy 0.000 0.000 0.748 1
Pu1 Pu 0.000 0.000 0.000 1
In1 In 0.500 0.500 0.000 1
In2 In 0.500 0.500 0.250 1
In3 In 0.500 0.500 0.500 1
In4 In 0.500 0.500 0.750 1
In5 In 0.500 0.000 0.125 1
In6 In 0.500 0.000 0.375 1
In7 In 0.500 0.000 0.625 1
In8 In 0.500 0.000 0.875 1
In9 In 0.000 0.500 0.125 1
In10 In 0.000 0.500 0.375 1
In11 In 0.000 0.500 0.625 1
In12 In 0.000 0.500 0.875 1
```

Summary:
The calculation puts the magnetic moment at 0.348 μB per atom. The density of states at the Fermi level is 18.4 states/eV/f.u.

=====

7.
Entry from Alexandria via LeMat-Bulk: a relaxed LaPm3Sm8 crystal (PBE).

Structure (CIF):
```
data_LaPm3Sm8
_space_group_name_H-M_alt 'P 1'
_space_group_IT_number 1
_space_group_name_Hall 'P 1'
_cell_length_a 8.609
_cell_length_b 9.009
_cell_length_c 9.011
_cell_angle_alpha 83.03
_cell_angle_beta 117.50
_cell_angle_gamma 135.24
loop_
_atom_site_label
_atom_site_type_symbol
_atom_site_fract_x
_atom_site_fract_y
_atom_site_fract_z
_atom_site_occupancy
La1 La 0.250 0.056 0.137 1
Pm1 Pm 0.416 0.770 0.355 1
Pm2 Pm 0.417 0.030 0.617 1
Pm3 Pm 0.919 0.388 0.469 1
Sm1 Sm 0.748 0.436 0.019 1
Sm2 Sm 0.579 0.715 0.801 1
Sm3 Sm 0.751 0.698 0.281 1
Sm4 Sm 0.084 0.366 0.947 1
Sm5 Sm 0.252 0.313 0.396 1
Sm6 Sm 0.586 0.978 0.063 1
Sm7 Sm 0.917 0.646 0.728 1
Sm8 Sm 0.081 0.105 0.685 1
```

Summary:
The calculation puts the magnetic moment at 0.000 μB per atom. The density of states at the Fermi level is 18.0 states/eV/f.u.

=====

8.
Entry from Alexandria via LeMat-Bulk: a relaxed B2NF2 crystal (PBE).

Structure (CIF):
```
data_B2NF2
_space_group_name_H-M_alt 'P 1'
_space_group_IT_number 1
_space_group_name_Hall 'P 1'
_cell_length_a 2.966
_cell_length_b 2.966
_cell_length_c 4.625
_cell_angle_alpha 71.30
_cell_angle_beta 71.30
_cell_angle_gamma 90.00
loop_
_atom_site_label
_atom_site_type_symbol
_atom_site_fract_x
_atom_site_fract_y
_atom_site_fract_z
_atom_site_occupancy
B1 B 0.399 0.399 0.202 1
B2 B 0.601 0.601 0.798 1
N1 N 0.000 0.000 0.000 1
F1 F 0.750 0.250 0.500 1
F2 F 0.250 0.750 0.500 1
```

Summary:
The calculation puts the magnetic moment at 0.000 μB per atom. The density of states at the Fermi level is 1.3 states/eV/f.u.

=====

9.
Entry from Alexandria via LeMat-Bulk: a relaxed CuTePb3 crystal (PBE).

Structure (CIF):
```
data_CuTePb3
_space_group_name_H-M_alt 'P 1'
_space_group_IT_number 1
_space_group_name_Hall 'P 1'
_cell_length_a 5.325
_cell_length_b 5.325
_cell_length_c 5.325
_cell_angle_alpha 90.00
_cell_angle_beta 90.00
_cell_angle_gamma 90.00
loop_
_atom_site_label
_atom_site_type_symbol
_atom_site_fract_x
_atom_site_fract_y
_atom_site_fract_z
_atom_site_occupancy
Pb1 Pb 0.000 0.500 0.000 1
Pb2 Pb 0.000 0.000 0.500 1
Pb3 Pb 0.500 0.000 0.000 1
Te1 Te 0.500 0.500 0.500 1
Cu1 Cu 0.000 0.000 0.000 1
```

Summary:
The calculation puts the magnetic moment at 0.000 μB per atom. The density of states at the Fermi level is 1.8 states/eV/f.u.

=====

10.
Entry from Alexandria via LeMat-Bulk: a relaxed Sm11Tl9In4 crystal (PBE).

Structure (CIF):
```
data_Sm11Tl9In4
_space_group_name_H-M_alt 'P 1'
_space_group_IT_number 1
_space_group_name_Hall 'P 1'
_cell_length_a 3.655
_cell_length_b 13.827
_cell_length_c 13.827
_cell_angle_alpha 101.27
_cell_angle_beta 90.00
_cell_angle_gamma 90.00
loop_
_atom_site_label
_atom_site_type_symbol
_atom_site_fract_x
_atom_site_fract_y
_atom_site_fract_z
_atom_site_occupancy
Sm1 Sm 0.000 0.591 0.929 1
Sm2 Sm 0.000 0.409 0.071 1
Sm3 Sm 0.000 0.929 0.591 1
Sm4 Sm 0.000 0.071 0.409 1
Sm5 Sm 0.000 0.639 0.361 1
Sm6 Sm 0.000 0.361 0.639 1
Sm7 Sm 0.000 0.818 0.182 1
Sm8 Sm 0.000 0.182 0.818 1
Sm9 Sm 0.000 0.000 0.000 1
Sm10 Sm 0.000 0.766 0.766 1
Sm11 Sm 0.000 0.234 0.234 1
Tl1 Tl 0.500 0.613 0.144 1
Tl2 Tl 0.500 0.387 0.856 1
Tl3 Tl 0.500 0.144 0.613 1
Tl4 Tl 0.500 0.856 0.387 1
Tl5 Tl 0.500 0.796 0.975 1
Tl6 Tl 0.500 0.204 0.025 1
Tl7 Tl 0.500 0.975 0.796 1
Tl8 Tl 0.500 0.025 0.204 1
Tl9 Tl 0.500 0.500 0.500 1
In1 In 0.500 0.566 0.727 1
In2 In 0.500 0.434 0.273 1
In3 In 0.500 0.727 0.566 1
In4 In 0.500 0.273 0.434 1
```

Summary:
The calculation puts the magnetic moment at 0.000 μB per atom. The density of states at the Fermi level is 22.1 states/eV/f.u.

=====

11.
Entry from Alexandria via LeMat-Bulk: a relaxed Nd4Y7Sc crystal (PBE).

Structure (CIF):
```
data_Nd4Y7Sc
_space_group_name_H-M_alt 'P 1'
_space_group_IT_number 1
_space_group_name_Hall 'P 1'
_cell_length_a 6.837
_cell_length_b 6.561
_cell_length_c 10.974
_cell_angle_alpha 84.22
_cell_angle_beta 55.67
_cell_angle_gamma 97.63
loop_
_atom_site_label
_atom_site_type_symbol
_atom_site_fract_x
_atom_site_fract_y
_atom_site_fract_z
_atom_site_occupancy
Nd1 Nd 0.408 0.635 0.282 1
Nd2 Nd 0.592 0.365 0.718 1
Nd3 Nd 0.417 0.846 0.697 1
Nd4 Nd 0.583 0.154 0.303 1
Y1 Y 0.800 0.521 0.952 1
Y2 Y 0.200 0.479 0.048 1
Y3 Y 0.159 0.313 0.648 1
Y4 Y 0.841 0.687 0.352 1
Y5 Y 0.986 0.810 0.617 1
Y6 Y 0.500 0.000 0.000 1
Y7 Y 0.014 0.190 0.383 1
Sc1 Sc 0.000 0.000 0.000 1
```

Summary:
The calculation puts the magnetic moment at 0.000 μB per atom. The density of states at the Fermi level is 20.3 states/eV/f.u.

=====

12.
Entry from Alexandria via LeMat-Bulk: a relaxed Sm3Tm6Tl crystal (PBE).

Structure (CIF):
```
data_Sm3Tm6Tl
_space_group_name_H-M_alt 'P 1'
_space_group_IT_number 1
_space_group_name_Hall 'P 1'
_cell_length_a 6.053
_cell_length_b 10.881
_cell_length_c 10.881
_cell_angle_alpha 119.52
_cell_angle_beta 90.00
_cell_angle_gamma 90.00
loop_
_atom_site_label
_atom_site_type_symbol
_atom_site_fract_x
_atom_site_fract_y
_atom_site_fract_z
_atom_site_occupancy
Sm1 Sm 0.468 0.939 0.734 1
Sm2 Sm 0.968 0.734 0.939 1
Sm3 Sm 0.049 0.393 0.607 1
Sm4 Sm 0.549 0.607 0.393 1
Sm5 Sm 0.968 0.061 0.266 1
Sm6 Sm 0.468 0.266 0.061 1
Tm1 Tm 0.029 0.712 0.609 1
Tm2 Tm 0.529 0.609 0.712 1
Tm3 Tm 0.341 0.518 0.947 1
Tm4 Tm 0.841 0.947 0.518 1
Tm5 Tm 0.453 0.942 0.058 1
Tm6 Tm 0.664 0.267 0.733 1
Tm7 Tm 0.164 0.733 0.267 1
Tm8 Tm 0.953 0.058 0.942 1
Tm9 Tm 0.341 0.053 0.482 1
Tm10 Tm 0.841 0.482 0.053 1
Tm11 Tm 0.029 0.391 0.288 1
Tm12 Tm 0.529 0.288 0.391 1
Tl1 Tl 0.143 0.214 0.786 1
Tl2 Tl 0.643 0.786 0.214 1
```

Summary:
The calculation puts the magnetic moment at 0.000 μB per atom. The density of states at the Fermi level is 13.5 states/eV/f.u.

=====

Here are the calculated final energy numbers, same order: -3.1312 -5.6926 -9.9685 -3.3771 -5.3418 -4.1767 -4.6990 -4.1366 -3.5443 -3.8722 -5.7974 -4.2955 (eV/atom).